DFT (PBE-GGA) results for crystalline KYSb2 at its relaxed geometry.

Cell lengths 4.829, 5.448, 9.398 Å; angles 90.00, 90.00, 90.00 degrees
Space group Cmmm (No. 65)
Inequivalent atoms, fractional coordinates:
K: 0.000 0.000 0.000 [2 per cell]
Y: 0.000 0.000 0.500 [2 per cell]
Sb: 0.000 0.500 0.281 [4 per cell]

Computed properties:
Crystal system = orthorhombic
Relative energy among the computed polymorphs = 31.3 meV per atom